--- i ---
This record from Alexandria via LeMat-Bulk describes a relaxed AcInAs crystal. The functional is PBE-GGA.

* space-group type: I4mm (107)

a b c (Å): 3.8784 3.8784 6.2645
angles (deg): 108.03 108.03 90.00
Last column: nearest neighbours and their distance in Å.
Fractional positions:
In (0.3050, 0.3050, 0.6101)  4 As 3.06, 1 Ac 3.33
Ac (0.0095, 0.0095, 0.0190)  5 In 3.33-3.58, 5 As 3.38-3.65
As (0.6855, 0.6855, 0.3709)  4 In 3.06, 4 Ac 3.38

--- ii ---
This record from Alexandria via LeMat-Bulk describes a relaxed AcInAs crystal. The functional is PBE-GGA.

* space-group type: P-6m2 (187)

a b c (Å): 4.2474 4.9107 4.9107
angles (deg): 120.00 90.00 90.00
Last column: nearest neighbours and their distance in Å.
Fractional positions:
Ac (0.9999, 0.0000, 0.0000)  6 In 3.54, 6 As 3.54
As (0.4999, 0.3333, 0.6667)  3 In 2.84
In (0.5002, 0.6667, 0.3333)  3 As 2.84

--- iii ---
This record from Alexandria via LeMat-Bulk describes a relaxed AcInAs crystal. The functional is PBE-GGA.

* space-group type: P2_1/m (11)

a b c (Å): 4.5140 4.5142 9.2509
angles (deg): 90.02 89.87 90.00
Last column: nearest neighbours and their distance in Å.
Fractional positions:
In (0.7494, 0.7501, 0.9558)  1 As 2.73
In (0.2506, 0.2499, 0.0442)  1 As 2.73
Ac (0.7514, 0.7498, 0.3240)  5 As 3.12-3.20, 1 In 3.41
Ac (0.2486, 0.2502, 0.6760)  5 As 3.12-3.20, 1 In 3.41
As (0.7486, 0.7502, 0.6613)  1 In 2.73
As (0.2514, 0.2498, 0.3387)  1 In 2.73

iii is the most stable structure; the next one sits 271 meV per atom above it.